First-principles (GGA-PBE) data for a relaxed KBa2Ag2H6 crystal, as listed in Alexandria via LeMat-Bulk.

Cell: 6.1009 6.1009 7.4806 Å, 115.59 115.59 55.68°
Last column: nearest neighbours and their distance in Å.
Sites, in units of the cell vectors:
1 K 0.0000 0.0000 0.0000  6 H 2.67-2.70
2 Ba 0.2062 0.2062 0.7031  5 H 2.69-2.99
3 Ba 0.7938 0.7938 0.2969  5 H 2.69-2.99
4 Ag 0.4708 0.4708 0.2723  3 H 1.78-1.79
5 Ag 0.5292 0.5292 0.7277  3 H 1.78-1.79
6 H 0.1617 0.6917 0.6544  1 Ag 1.79
7 H 0.2818 0.2818 0.1280  1 Ag 1.78
8 H 0.3083 0.8383 0.3456  1 Ag 1.79
9 H 0.6917 0.1617 0.6544  1 Ag 1.79
10 H 0.7183 0.7183 0.8720  1 Ag 1.78
11 H 0.8383 0.3083 0.3456  1 Ag 1.79

total DFT energy (no corrections) = -33.4 eV for the cell shown
crystal system = monoclinic
M_tot = 0.000 μB per cell